[1]
This record from Alexandria via LeMat-Bulk describes GeOs3Rh at its PBEsol-relaxed geometry. The functional is meta-GGA SCAN.

Values from the calculation:
mass density: 12.6 g/cm³
space-group type: Pm-3m
raw total energy: -255.701 eV for the cell shown
calculated formation energy: 2560 meV/atom

Unit cell a=4.6157 b=4.6157 c=4.6157 alpha=90.00 beta=90.00 gamma=90.00
Fractional positions:
Ge (0.0000, 0.0000, 0.0000)
Os (0.0000, 0.5000, 0.5000)
Os (0.5000, 0.0000, 0.5000)
Os (0.5000, 0.5000, 0.0000)
Rh (0.5000, 0.5000, 0.5000)

[2]
This record from Alexandria via LeMat-Bulk describes HoH16C2S2NO12 at its PBEsol-relaxed geometry. The functional is meta-GGA SCAN.

Values from the calculation:
mass density: 2.6 g/cm³
space-group type: Pnma
raw total energy: -1075.350 eV for the cell shown

Unit cell a=10.6557 b=11.6606 c=9.7640 alpha=90.00 beta=90.00 gamma=90.00
Fractional positions:
Ho (0.1221, 0.2500, 0.0276)
Ho (0.3779, 0.7500, 0.5276)
Ho (0.6221, 0.2500, 0.4724)
Ho (0.8779, 0.7500, 0.9724)
H (0.0145, 0.1409, 0.6353)
H (0.0145, 0.3591, 0.6353)
H (0.0274, 0.0716, 0.4704)
H (0.0274, 0.4284, 0.4704)
H (0.0400, 0.5847, 0.1236)
H (0.0400, 0.9153, 0.1236)
H (0.0486, 0.2500, 0.3633)
H (0.0827, 0.7500, 0.5435)
H (0.1039, 0.0372, 0.8685)
H (0.1039, 0.4628, 0.8685)
H (0.1304, 0.6811, 0.8906)
H (0.1304, 0.8189, 0.8906)
H (0.1596, 0.1455, 0.5409)
H (0.1596, 0.3545, 0.5409)
H (0.2196, 0.6809, 0.2862)
H (0.2196, 0.8191, 0.2862)
H (0.2804, 0.1809, 0.7862)
H (0.2804, 0.3191, 0.7862)
H (0.3404, 0.6455, 0.0409)
H (0.3404, 0.8545, 0.0409)
H (0.3696, 0.1811, 0.3906)
H (0.3696, 0.3189, 0.3906)
H (0.3961, 0.5372, 0.3685)
H (0.3961, 0.9628, 0.3685)
H (0.4173, 0.2500, 0.0435)
H (0.4514, 0.7500, 0.8633)
H (0.4600, 0.0847, 0.6236)
H (0.4600, 0.4153, 0.6236)
H (0.4726, 0.5716, 0.9704)
H (0.4726, 0.9284, 0.9704)
H (0.4855, 0.6409, 0.1353)
H (0.4855, 0.8591, 0.1353)
H (0.5145, 0.1409, 0.8647)
H (0.5145, 0.3591, 0.8647)
H (0.5274, 0.0716, 0.0296)
H (0.5274, 0.4284, 0.0296)
H (0.5400, 0.5847, 0.3764)
H (0.5400, 0.9153, 0.3764)
H (0.5486, 0.2500, 0.1367)
H (0.5827, 0.7500, 0.9565)
H (0.6039, 0.0372, 0.6315)
H (0.6039, 0.4628, 0.6315)
H (0.6304, 0.6811, 0.6094)
H (0.6304, 0.8189, 0.6094)
H (0.6596, 0.1455, 0.9591)
H (0.6596, 0.3545, 0.9591)
H (0.7196, 0.6809, 0.2138)
H (0.7196, 0.8191, 0.2138)
H (0.7804, 0.1809, 0.7138)
H (0.7804, 0.3191, 0.7138)
H (0.8404, 0.6455, 0.4591)
H (0.8404, 0.8545, 0.4591)
H (0.8696, 0.1811, 0.1094)
H (0.8696, 0.3189, 0.1094)
H (0.8961, 0.5372, 0.1315)
H (0.8961, 0.9628, 0.1315)
H (0.9173, 0.2500, 0.4565)
H (0.9514, 0.7500, 0.6367)
H (0.9600, 0.0847, 0.8764)
H (0.9600, 0.4153, 0.8764)
H (0.9726, 0.5716, 0.5296)
H (0.9726, 0.9284, 0.5296)
H (0.9855, 0.6409, 0.3647)
H (0.9855, 0.8591, 0.3647)
C (0.0568, 0.1447, 0.5327)
C (0.0568, 0.3553, 0.5327)
C (0.4432, 0.6447, 0.0327)
C (0.4432, 0.8553, 0.0327)
C (0.5568, 0.1447, 0.9673)
C (0.5568, 0.3553, 0.9673)
C (0.9432, 0.6447, 0.4673)
C (0.9432, 0.8553, 0.4673)
S (0.2182, 0.0598, 0.2046)
S (0.2182, 0.4402, 0.2046)
S (0.2818, 0.5598, 0.7046)
S (0.2818, 0.9402, 0.7046)
S (0.7182, 0.0598, 0.2954)
S (0.7182, 0.4402, 0.2954)
S (0.7818, 0.5598, 0.7954)
S (0.7818, 0.9402, 0.7954)
N (0.0145, 0.2500, 0.4635)
N (0.4855, 0.7500, 0.9635)
N (0.5145, 0.2500, 0.0365)
N (0.9855, 0.7500, 0.5365)
O (0.0496, 0.1028, 0.8995)
O (0.0496, 0.3972, 0.8995)
O (0.0895, 0.7500, 0.9332)
O (0.1012, 0.1289, 0.2240)
O (0.1012, 0.3711, 0.2240)
O (0.1856, 0.5621, 0.1800)
O (0.1856, 0.9379, 0.1800)
O (0.1988, 0.5672, 0.8257)
O (0.1988, 0.9328, 0.8257)
O (0.2207, 0.6130, 0.5817)
O (0.2207, 0.8870, 0.5817)
O (0.2312, 0.7500, 0.3451)
O (0.2688, 0.2500, 0.8451)
O (0.2793, 0.1130, 0.0817)
O (0.2793, 0.3870, 0.0817)
O (0.3012, 0.0672, 0.3257)
O (0.3012, 0.4328, 0.3257)
O (0.3144, 0.0621, 0.6800)
O (0.3144, 0.4379, 0.6800)
O (0.3988, 0.6289, 0.7240)
O (0.3988, 0.8711, 0.7240)
O (0.4105, 0.2500, 0.4332)
O (0.4504, 0.6028, 0.3995)
O (0.4504, 0.8972, 0.3995)
O (0.5496, 0.1028, 0.6005)
O (0.5496, 0.3972, 0.6005)
O (0.5895, 0.7500, 0.5668)
O (0.6012, 0.1289, 0.2760)
O (0.6012, 0.3711, 0.2760)
O (0.6856, 0.5621, 0.3200)
O (0.6856, 0.9379, 0.3200)
O (0.6988, 0.5672, 0.6743)
O (0.6988, 0.9328, 0.6743)
O (0.7207, 0.6130, 0.9183)
O (0.7207, 0.8870, 0.9183)
O (0.7312, 0.7500, 0.1549)
O (0.7688, 0.2500, 0.6549)
O (0.7793, 0.1130, 0.4183)
O (0.7793, 0.3870, 0.4183)
O (0.8012, 0.0672, 0.1743)
O (0.8012, 0.4328, 0.1743)
O (0.8144, 0.0621, 0.8200)
O (0.8144, 0.4379, 0.8200)
O (0.8988, 0.6289, 0.7760)
O (0.8988, 0.8711, 0.7760)
O (0.9105, 0.2500, 0.0669)
O (0.9504, 0.6028, 0.1005)
O (0.9504, 0.8972, 0.1005)

[3]
This record from Alexandria via LeMat-Bulk describes ScHg2 at its PBEsol-relaxed geometry. The functional is meta-GGA SCAN.

Values from the calculation:
mass density: 11.8 g/cm³
space-group type: I4_1/amd
raw total energy: -607.049 eV for the cell shown
calculated formation energy: -398 meV/atom

Unit cell a=13.8189 b=13.8189 c=13.8189 alpha=162.02 beta=162.02 gamma=25.53
Fractional positions:
Sc (0.2950, 0.5450, 0.7500)
Sc (0.4550, 0.7050, 0.7500)
Sc (0.5450, 0.2950, 0.2500)
Sc (0.7050, 0.4550, 0.2500)
Hg (0.0374, 0.7874, 0.2500)
Hg (0.1250, 0.3750, 0.7500)
Hg (0.2126, 0.9626, 0.2500)
Hg (0.3750, 0.1250, 0.2500)
Hg (0.6250, 0.8750, 0.7500)
Hg (0.7874, 0.0374, 0.7500)
Hg (0.8750, 0.6250, 0.2500)
Hg (0.9626, 0.2126, 0.7500)

[4]
This record from Alexandria via LeMat-Bulk describes In2MoCl at its PBEsol-relaxed geometry. The functional is meta-GGA SCAN.

Values from the calculation:
mass density: 7.6 g/cm³
space-group type: R-3m
raw total energy: -109.268 eV for the cell shown
ΔE_f (raw): 92 meV per atom
energy above the lowest structure with this stoichiometry: 0.000 eV/atom

Unit cell a=8.9578 b=8.9578 c=8.9578 alpha=20.69 beta=20.69 gamma=20.69
Fractional positions:
In (0.2470, 0.2470, 0.2470)
In (0.7530, 0.7530, 0.7530)
Mo (0.5000, 0.5000, 0.5000)
Cl (0.0000, 0.0000, 0.0000)

[5]
This record from Alexandria via LeMat-Bulk describes ZnIr2Os at its PBEsol-relaxed geometry. The functional is meta-GGA SCAN.

Values from the calculation:
mass density: 18.7 g/cm³
space-group type: Cmmm
raw total energy: -226.688 eV for the cell shown
calculated formation energy: 226 meV/atom

Unit cell a=2.6997 b=2.6997 c=9.0075 alpha=90.00 beta=90.00 gamma=120.02
Fractional positions:
Zn (0.0000, 0.0000, 0.0000)
Ir (0.5000, 0.5000, 0.2457)
Ir (0.5000, 0.5000, 0.7543)
Os (0.0000, 0.0000, 0.5000)

[6]
This record from Alexandria via LeMat-Bulk describes HgIrAu2 at its PBEsol-relaxed geometry. The functional is meta-GGA SCAN.

Values from the calculation:
mass density: 19.3 g/cm³
space-group type: R-3m
raw total energy: -276.151 eV for the cell shown
calculated formation energy: 357 meV/atom

Unit cell a=9.6540 b=9.6540 c=9.6540 alpha=17.07 beta=17.07 gamma=17.07
Fractional positions:
Hg (0.0000, 0.0000, 0.0000)
Ir (0.5000, 0.5000, 0.5000)
Au (0.2458, 0.2458, 0.2458)
Au (0.7542, 0.7542, 0.7542)

[7]
This record from Alexandria via LeMat-Bulk describes Re2TcBr at its PBEsol-relaxed geometry. The functional is meta-GGA SCAN.

Values from the calculation:
mass density: 15.2 g/cm³
space-group type: Fm-3m
raw total energy: -191.395 eV for the cell shown
ΔE_f (raw): 1330 meV per atom
energy above the lowest structure with this stoichiometry: 0.707 eV/atom

Unit cell a=4.3938 b=4.3938 c=4.3938 alpha=60.00 beta=60.00 gamma=60.00
Fractional positions:
Re (0.2500, 0.2500, 0.2500)
Re (0.7500, 0.7500, 0.7500)
Tc (0.0000, 0.0000, 0.0000)
Br (0.5000, 0.5000, 0.5000)

[8]
This record from Alexandria via LeMat-Bulk describes CdTc3W at its PBEsol-relaxed geometry. The functional is meta-GGA SCAN.

Values from the calculation:
mass density: 10.0 g/cm³
space-group type: Pm-3m
raw total energy: -189.923 eV for the cell shown
calculated formation energy: 3072 meV/atom

Unit cell a=4.6080 b=4.6080 c=4.6080 alpha=90.00 beta=90.00 gamma=90.00
Fractional positions:
Cd (0.0000, 0.0000, 0.0000)
Tc (0.0000, 0.0000, 0.5000)
Tc (0.0000, 0.5000, 0.0000)
Tc (0.5000, 0.0000, 0.0000)
W (0.5000, 0.5000, 0.5000)

Look up the mass density of the eighth one. 10.0 g/cm³